VASP calculation (PBE) on a relaxed structure of Ca2AgW.

Calculated values
- Space group: I-42d
- Formation enthalpy at 0 K: 1043.8 meV/atom
- DOS at the Fermi energy: 5.89 states/eV/cell
- Distance to the lowest polymorph of the same formula: 531 meV per atom

Cell and atoms, written as POSCAR:
```
Ca2AgW
1.0
8.143 0.000 0.000
0.000 8.143 0.000
4.072 4.072 3.081
Ca W Ag
4 2 2
Direct
0.375 0.394 0.750
0.144 0.625 0.250
0.875 0.856 0.750
0.606 0.125 0.250
0.000 0.000 0.000
0.750 0.250 0.500
0.500 0.500 0.000
0.250 0.750 0.500
```

=====

VASP calculation (PBE) on a relaxed structure of SiNi6W.

Calculated values
- Formation energy from raw total energies: -195.6 meV per atom
- Space group: Cmmm
- DOS at the Fermi energy: 31.91 states/eV/cell

Cell and atoms, written as POSCAR:
```
SiNi6W
1.0
6.202 0.001 0.000
-2.093 5.839 0.000
0.000 0.000 10.131
Ni W Si
24 4 4
Direct
0.877 0.626 0.127
0.500 0.500 0.750
0.123 0.374 0.127
0.500 0.500 0.250
0.370 0.122 0.623
0.630 0.878 0.877
0.123 0.374 0.373
0.249 0.751 0.002
0.122 0.370 0.877
0.751 0.249 0.498
0.626 0.877 0.373
0.877 0.626 0.373
0.374 0.123 0.373
0.122 0.370 0.623
0.630 0.878 0.623
0.626 0.877 0.127
0.878 0.630 0.623
0.000 0.000 0.250
0.370 0.122 0.877
0.374 0.123 0.127
0.249 0.751 0.498
0.751 0.249 0.002
0.878 0.630 0.877
0.000 0.000 0.750
0.256 0.744 0.750
0.500 0.500 0.494
0.500 0.500 0.006
0.744 0.256 0.750
0.000 0.000 0.494
0.256 0.744 0.250
0.000 0.000 0.006
0.744 0.256 0.250
```

=====

VASP calculation (PBE) on a relaxed structure of BaAc2P.

Calculated values
- Space group: R3m
- Formation enthalpy at 0 K: -639.4 meV/atom
- DOS at the Fermi energy: 6.03 states/eV/cell
- Distance to the lowest polymorph of the same formula: 0 meV per atom

Cell and atoms, written as POSCAR:
```
BaAc2P
1.0
-0.795 -4.176 -0.597
2.576 -2.949 1.759
-5.714 -2.471 9.464
Ac Ba P
2 1 1
Direct
0.053 0.053 0.840
0.280 0.280 0.160
0.500 0.500 0.499
0.666 0.666 0.001
```

=====

VASP calculation (PBE) on a relaxed structure of Hf4NbIn3.

Calculated values
- Space group: P4/mmm
- Formation enthalpy at 0 K: -95.5 meV/atom
- DOS at the Fermi energy: 4.69 states/eV/cell

Cell and atoms, written as POSCAR:
```
Hf4NbIn3
1.0
3.391 0.000 0.000
0.000 3.391 0.000
0.000 0.000 15.015
In Nb Hf
3 1 4
Direct
0.500 0.500 0.762
0.500 0.500 0.500
0.500 0.500 0.238
0.500 0.500 0.000
0.000 0.000 0.367
0.000 0.000 0.633
0.000 0.000 0.894
0.000 0.000 0.106
```

=====

VASP calculation (PBE) on a relaxed structure of Na10B13C7.

Calculated values
- Space group: C2
- Formation enthalpy at 0 K: 120.4 meV/atom
- DOS at the Fermi energy: 6.84 states/eV/cell
- Distance to the lowest polymorph of the same formula: 35 meV per atom

Cell and atoms, written as POSCAR:
```
Na10B13C7
1.0
6.183 -0.018 -4.417
4.164 4.571 -4.417
0.674 0.296 10.236
Na C B
10 7 13
Direct
0.999 0.999 0.499
0.998 0.001 0.997
0.200 0.199 0.999
0.201 0.202 0.503
0.598 0.599 0.997
0.399 0.398 0.997
0.799 0.802 0.503
0.801 0.801 0.001
0.402 0.401 0.503
0.601 0.600 0.501
0.765 0.435 0.250
0.026 0.368 0.750
0.632 0.966 0.750
0.432 0.774 0.750
0.365 0.035 0.250
0.834 0.168 0.750
0.564 0.236 0.250
0.163 0.839 0.250
0.448 0.761 0.250
0.961 0.637 0.250
0.367 0.034 0.750
0.232 0.568 0.750
0.254 0.546 0.250
0.822 0.180 0.250
0.170 0.842 0.750
0.958 0.630 0.750
0.620 0.978 0.250
0.766 0.433 0.750
0.039 0.352 0.250
0.584 0.216 0.750
```

=====

VASP calculation (PBE) on a relaxed structure of CsTbMgBr6.

Calculated values
- Formation energy from raw total energies: -1753.9 meV per atom
- Space group: P312
- DOS at the Fermi energy: 0.00 states/eV/cell

Cell and atoms, written as POSCAR:
```
CsTbMgBr6
1.0
-0.855 7.012 -1.445
-1.753 4.583 5.283
7.926 1.280 1.519
Br Tb Cs Mg
6 1 1 1
Direct
0.988 0.629 0.696
0.629 0.988 0.304
0.383 0.988 0.696
0.988 0.383 0.304
0.383 0.629 0.304
0.629 0.383 0.696
0.333 0.333 0.500
0.000 0.000 0.000
0.667 0.667 0.500
```

=====

VASP calculation (PBE) on a relaxed structure of K2SrTlO4.

Calculated values
- Formation energy from raw total energies: -1359.3 meV per atom
- Space group: C2/c
- DOS at the Fermi energy: 7.15 states/eV/cell

Cell and atoms, written as POSCAR:
```
K2SrTlO4
1.0
-3.501 3.517 5.306
-3.783 -6.020 1.493
7.493 -0.249 0.068
Tl K O Sr
2 4 8 2
Direct
0.500 0.500 0.500
0.000 0.000 0.000
0.000 0.000 0.500
0.500 0.000 0.000
0.500 0.500 0.000
0.500 0.000 0.500
0.262 0.697 0.475
0.274 0.289 0.499
0.726 0.711 0.501
0.738 0.303 0.525
0.803 0.238 0.025
0.211 0.226 0.001
0.197 0.762 0.975
0.789 0.774 0.999
0.000 0.500 0.500
0.000 0.500 0.000
```

=====

VASP calculation (PBE) on a relaxed structure of AlCo2W.

Calculated values
- Space group: R3m
- Formation enthalpy at 0 K: 126.1 meV/atom
- DOS at the Fermi energy: 4.93 states/eV/cell

Cell and atoms, written as POSCAR:
```
AlCo2W
1.0
8.467 0.000 0.000
8.032 2.680 0.000
8.032 1.305 2.341
Co W Al
2 1 1
Direct
0.998 0.998 0.998
0.255 0.255 0.255
0.504 0.504 0.504
0.743 0.743 0.743
```